(1)
DyHoOsRh after structural relaxation. Source: Alexandria, functional GGA-PBE.

```
DyHoOsRh
1.0
-3.101 0.388 -3.668
-2.670 -3.792 -1.310
-4.745 -0.013 0.844
Dy Rh Ho Os
1 1 1 1
direct
0.750 0.750 0.750 Dy
0.500 0.500 0.500 Rh
0.250 0.250 0.250 Ho
0.000 0.000 0.000 Os
```

Properties
Crystal system: cubic
M_tot (μB/f.u.): 0.000
DFT total energy (eV/atom): -7.433

***

(2)
DyHoOsRu after structural relaxation. Source: Alexandria, functional GGA-PBE.

```
DyHoOsRu
1.0
-4.614 -1.083 -0.776
-2.675 -1.800 3.559
-3.460 2.670 1.989
Ru Dy Ho Os
1 1 1 1
direct
0.750 0.750 0.750 Ru
0.000 0.000 0.000 Dy
0.500 0.500 0.500 Ho
0.250 0.250 0.250 Os
```

Properties
Crystal system: cubic
M_tot (μB/f.u.): 0.000
DFT total energy (eV/atom): -7.612